Density functional theory data (PBEsol) for crystalline SiTc2Se at its relaxed geometry.

Its final energy is -8.2100 eV/atom. The value obtained for the size of the total moment is 0.00 μB per cell. As for the raw formation energy: -17 kJ per mole of atoms. For the energy above the most stable polymorph in this dataset, the calculation gives 0 meV per atom.

The space group is Pmm2 (No. 25) and the conventional cell measures 2.966, 4.462 and 4.250 Å, with angles of 90.00, 90.00 and 90.00 degrees. The asymmetric unit holds Si at (0.000, 0.000, 0.000), Tc at (0.000, 0.500, 0.728), Tc at (0.500, 0.000, 0.513) and Se at (0.500, 0.500, 0.230).

Density functional theory data (PBEsol) for crystalline SiTe2Se at its relaxed geometry.

Its final energy is -4.0802 eV/atom. The value obtained for the size of the total moment is 0.00 μB per cell. As for the raw formation energy: 8 kJ per mole of atoms.

The space group is Pm (No. 6) and the conventional cell measures 5.188, 3.821 and 5.354 Å, with angles of 90.00, 113.99 and 90.00 degrees. The asymmetric unit holds Si at (0.000, 0.000, 0.000), Te at (0.508, 0.000, 0.539), Te at (0.790, 0.500, 0.258) and Se at (0.223, 0.500, 0.824).

Density functional theory data (PBEsol) for crystalline SiTeSe2 at its relaxed geometry.

Its final energy is -4.2532 eV/atom. The value obtained for the size of the total moment is 0.00 μB per cell. As for the raw formation energy: -1 kJ per mole of atoms.

The space group is P2/m (No. 10) and the conventional cell measures 5.033, 3.380 and 5.522 Å, with angles of 90.00, 105.15 and 90.00 degrees. The asymmetric unit holds Si at (0.000, 0.000, 0.000), Te at (0.000, 0.000, 0.500) and Se at (0.367, 0.500, 0.163).

Density functional theory data (PBEsol) for crystalline SiTe2Se at its relaxed geometry.

Its final energy is -3.8658 eV/atom. The value obtained for the size of the total moment is 0.00 μB per cell. As for the raw formation energy: 29 kJ per mole of atoms.

The space group is I-42d (No. 122) and the conventional cell measures 7.295, 7.295 and 8.257 Å, with angles of 90.00, 90.00 and 90.00 degrees. The asymmetric unit holds Si at (0.000, 0.000, 0.000), Te at (0.221, 0.250, 0.125) and Se at (0.000, 0.000, 0.500).

Density functional theory data (PBEsol) for crystalline SiTe2Se at its relaxed geometry.

Its final energy is -4.0524 eV/atom. The value obtained for the size of the total moment is 0.00 μB per cell. As for the raw formation energy: 11 kJ per mole of atoms.

The space group is Cm (No. 8) and the conventional cell measures 10.950, 3.326 and 5.933 Å, with angles of 90.00, 103.50 and 90.00 degrees. The asymmetric unit holds Si at (0.000, 0.000, 0.000), Te at (0.000, 0.500, 0.393), Te at (0.326, 0.000, 0.690) and Se at (0.165, 0.500, 0.040).

Density functional theory data (PBEsol) for crystalline ThSiSe at its relaxed geometry.

Its final energy is -7.1399 eV/atom. The value obtained for the size of the total moment is 0.00 μB per cell. As for the raw formation energy: -120 kJ per mole of atoms.

The space group is I4/mmm (No. 139) and the conventional cell measures 3.955, 3.955 and 17.499 Å, with angles of 90.00, 90.00 and 90.00 degrees. The asymmetric unit holds Th at (0.000, 0.000, 0.132), Si at (0.000, 0.500, 0.000) and Se at (0.000, 0.000, 0.311).

Density functional theory data (PBEsol) for crystalline TlSiSe4 at its relaxed geometry.

Its final energy is -3.4597 eV/atom. The value obtained for the size of the total moment is 0.00 μB per cell. As for the raw formation energy: 49 kJ per mole of atoms.

The space group is F-43m (No. 216) and the conventional cell measures 8.101, 8.101 and 8.101 Å, with angles of 90.00, 90.00 and 90.00 degrees. The asymmetric unit holds Tl at (0.000, 0.000, 0.000), Si at (0.250, 0.250, 0.250) and Se at (0.124, 0.124, 0.624).

Density functional theory data (PBEsol) for crystalline SiW2Se at its relaxed geometry.

Its final energy is -9.1591 eV/atom. The value obtained for the size of the total moment is 0.00 μB per cell. As for the raw formation energy: 14 kJ per mole of atoms. For the energy above the most stable polymorph in this dataset, the calculation gives 27 meV per atom.

The space group is R3m (No. 160, hexagonal axes) and the conventional cell measures 3.0537, 3.0537 and 23.5340 Å, with angles of 90.00, 90.00 and 120.00 degrees. The asymmetric unit holds Si at (0.0000, 0.0000, 0.0000), W at (0.0000, 0.0000, 0.4995), W at (0.0000, 0.0000, 0.7427) and Se at (0.0000, 0.0000, 0.2438).

Density functional theory data (PBEsol) for crystalline SiW2Se at its relaxed geometry.

Its final energy is -9.0860 eV/atom. The value obtained for the size of the total moment is 0.00 μB per cell. As for the raw formation energy: 21 kJ per mole of atoms. For the energy above the most stable polymorph in this dataset, the calculation gives 100 meV per atom.

The space group is P4/mmm (No. 123) and the conventional cell measures 4.361, 4.361 and 3.049 Å, with angles of 90.00, 90.00 and 90.00 degrees. The asymmetric unit holds Si at (0.000, 0.000, 0.000), W at (0.000, 0.500, 0.500) and Se at (0.500, 0.500, 0.000).

Density functional theory data (PBEsol) for crystalline SiW2Se at its relaxed geometry.

Its final energy is -9.0708 eV/atom. The value obtained for the size of the total moment is 0.00 μB per cell. As for the raw formation energy: 22 kJ per mole of atoms. For the energy above the most stable polymorph in this dataset, the calculation gives 115 meV per atom.

The space group is Fm-3m (No. 225) and the conventional cell measures 6.147, 6.147 and 6.147 Å, with angles of 90.00, 90.00 and 90.00 degrees. The asymmetric unit holds Si at (0.000, 0.000, 0.000), W at (0.250, 0.250, 0.250) and Se at (0.000, 0.000, 0.500).

Density functional theory data (PBEsol) for crystalline SiWSe2 at its relaxed geometry.

Its final energy is -6.5932 eV/atom. The value obtained for the size of the total moment is 0.00 μB per cell. As for the raw formation energy: 21 kJ per mole of atoms.

The space group is P4/mmm (No. 123) and the conventional cell measures 3.116, 3.116 and 6.824 Å, with angles of 90.00, 90.00 and 90.00 degrees. The asymmetric unit holds Si at (0.000, 0.000, 0.000), W at (0.000, 0.000, 0.500) and Se at (0.500, 0.500, 0.277).

Density functional theory data (PBEsol) for crystalline SiW2Se at its relaxed geometry.

Its final energy is -9.1862 eV/atom. The value obtained for the size of the total moment is 0.00 μB per cell. As for the raw formation energy: 11 kJ per mole of atoms. For the energy above the most stable polymorph in this dataset, the calculation gives 0 meV per atom.

The space group is Pmm2 (No. 25) and the conventional cell measures 2.998, 4.572 and 4.395 Å, with angles of 90.00, 90.00 and 90.00 degrees. The asymmetric unit holds Si at (0.000, 0.000, 0.000), W at (0.000, 0.500, 0.723), W at (0.500, 0.000, 0.510) and Se at (0.500, 0.500, 0.216).